Record 1
VASP calculation (PBE) on a relaxed Pm2GaIr3 crystal.

The structure belongs to space group R-3m (No. 166, hexagonal axes); the cell edges are 5.6402, 5.6402 and 12.3175 Å and the angles 90.00°, 90.00° and 120.00°. The inequivalent atoms are Pm at (0.0000, 0.0000, 0.1259), Ga at (0.0000, 0.0000, 0.5000) and Ir at (0.0000, 0.5000, 0.0000).

The value obtained for the density of states at the Fermi level is 10.5 states/eV/cell.


Record 2
VASP calculation (PBE) on a relaxed ZrBiPd5 crystal.

The structure belongs to space group P4/mmm (No. 123); the cell edges are 4.843, 4.843 and 5.711 Å and the angles 90.00°, 90.00° and 90.00°. The inequivalent atoms are Zr at (0.000, 0.000, 0.000), Bi at (0.500, 0.500, 0.500), Pd at (0.000, 0.000, 0.500) and Pd at (0.000, 0.500, 0.244).

The value obtained for the density of states at the Fermi level is 3.5 states/eV/cell.


Across the entries above, formation energy takes the values -748 -307 meV/atom, respectively.
Across the entries above, electronic total energy takes the values -7.266 -5.792 eV/atom, respectively.